1.
AlSi5Ni2 (GGA-PBE, optimized geometry); total moment = 0.0 μB per formula unit; electronic total energy = -5.357 eV/atom; space-group type = Pbam, No. 55; relative energy among the computed polymorphs = 4 meV per atom; E_form (uncorrected) = -0.4 eV per formula unit
1.0
5.0389 0.0000 0.0000
0.0000 13.1492 0.0000
0.0000 0.0000 3.5455
Al Si Ni
2 10 4
Direct
0.0000 0.0000 0.0000
0.5000 0.5000 0.0000
0.0000 0.5000 0.0000
0.2211 0.3968 0.5000
0.2390 0.6750 0.0000
0.2610 0.1750 0.0000
0.2789 0.8968 0.5000
0.5000 0.0000 0.0000
0.7211 0.1032 0.5000
0.7390 0.8250 0.0000
0.7610 0.3250 0.0000
0.7789 0.6032 0.5000
0.0023 0.7544 0.5000
0.4977 0.2544 0.5000
0.5023 0.7456 0.5000
0.9977 0.2456 0.5000

***

2.
Al3SiNi4 (GGA-PBE, optimized geometry); total moment = 0.0 μB per formula unit; electronic total energy = -5.567 eV/atom; space-group type = P4/mmm, No. 123; E_form (uncorrected) = -4.8 eV per formula unit
1.0
2.8742 0.0000 0.0000
0.0000 2.8742 0.0000
0.0000 0.0000 11.4751
Al Si Ni
3 1 4
Direct
0.0000 0.0000 0.0000
0.0000 0.0000 0.2512
0.0000 0.0000 0.7488
0.0000 0.0000 0.5000
0.5000 0.5000 0.1275
0.5000 0.5000 0.3866
0.5000 0.5000 0.6134
0.5000 0.5000 0.8725

***

3.
Al2Si2Ni (GGA-PBE, optimized geometry); total moment = 0.0 μB per formula unit; electronic total energy = -5.057 eV/atom; space-group type = Immm, No. 71; E_form (uncorrected) = -1.2 eV per formula unit
1.0
-1.8932 1.9438 5.3294
1.8932 -1.9438 5.3294
1.8932 1.9438 -5.3294
Al Si Ni
2 2 1
Direct
0.1419 0.1419 0.0000
0.8581 0.8581 0.0000
0.3771 0.3771 0.0000
0.6229 0.6229 0.0000
0.5000 0.0000 0.5000

***

4.
Al3Si3Ni2 (GGA-PBE, optimized geometry); total moment = 0.0 μB per formula unit; electronic total energy = -4.832 eV/atom; space-group type = P6_3/mcm, No. 193; relative energy among the computed polymorphs = 262 meV per atom; E_form (uncorrected) = 0.4 eV per formula unit
1.0
7.3192 0.0000 0.0000
-3.6596 6.3386 0.0000
0.0000 0.0000 4.9604
Al Si Ni
6 6 4
Direct
0.0000 0.4244 0.2500
0.0000 0.5756 0.7500
0.4244 0.0000 0.2500
0.4244 0.4244 0.7500
0.5756 0.0000 0.7500
0.5756 0.5756 0.2500
0.0000 0.2006 0.7500
0.0000 0.7994 0.2500
0.2006 0.0000 0.7500
0.2006 0.2006 0.2500
0.7994 0.0000 0.2500
0.7994 0.7994 0.7500
0.3333 0.6667 0.0000
0.3333 0.6667 0.5000
0.6667 0.3333 0.0000
0.6667 0.3333 0.5000

***

5.
Al2SiNi2 (GGA-PBE, optimized geometry); total moment = 0.0 μB per formula unit; electronic total energy = -4.937 eV/atom; space-group type = I4/mmm, No. 139; relative energy among the computed polymorphs = 520 meV per atom; E_form (uncorrected) = -0.2 eV per formula unit
1.0
-1.7905 1.7905 5.5673
1.7905 -1.7905 5.5673
1.7905 1.7905 -5.5673
Al Si Ni
2 1 2
Direct
0.2500 0.7500 0.5000
0.7500 0.2500 0.5000
0.0000 0.0000 0.0000
0.3951 0.3951 0.0000
0.6049 0.6049 0.0000

***

6.
AlSiNi (GGA-PBE, optimized geometry); total moment = 0.0 μB per formula unit; electronic total energy = -5.363 eV/atom; space-group type = P4mm, No. 99; E_form (uncorrected) = -1.1 eV per formula unit
1.0
2.7747 0.0000 0.0000
0.0000 2.7747 0.0000
0.0000 0.0000 5.4268
Al Si Ni
1 1 1
Direct
0.0000 0.0000 0.0000
0.0000 0.0000 0.5441
0.5000 0.5000 0.2908

***

7.
AlSi3Ni3 (GGA-PBE, optimized geometry); total moment = 0.0 μB per formula unit; electronic total energy = -5.342 eV/atom; space-group type = P6_3/mmc, No. 194; relative energy among the computed polymorphs = 358 meV per atom; E_form (uncorrected) = 0.0 eV per formula unit
1.0
8.8308 0.0000 0.0000
-4.4154 7.6477 0.0000
0.0000 0.0000 3.9398
Al Si Ni
2 6 6
Direct
0.3333 0.6667 0.2500
0.6667 0.3333 0.7500
0.1745 0.3489 0.2500
0.1745 0.8255 0.2500
0.3489 0.1745 0.7500
0.6511 0.8255 0.2500
0.8255 0.1745 0.7500
0.8255 0.6511 0.7500
0.1026 0.2053 0.7500
0.1026 0.8974 0.7500
0.2053 0.1026 0.2500
0.7947 0.8974 0.7500
0.8974 0.1026 0.2500
0.8974 0.7947 0.2500

***

8.
AlSi4Ni (GGA-PBE, optimized geometry); total moment = 0.0 μB per formula unit; electronic total energy = -4.757 eV/atom; space-group type = F-43m, No. 216; relative energy among the computed polymorphs = 402 meV per atom; E_form (uncorrected) = 2.7 eV per formula unit
1.0
0.0000 3.5055 3.5055
3.5055 0.0000 3.5055
3.5055 3.5055 0.0000
Al Si Ni
1 4 1
Direct
0.0000 0.0000 0.0000
0.3751 0.3751 0.3751
0.3751 0.3751 0.8746
0.3751 0.8746 0.3751
0.8746 0.3751 0.3751
0.7500 0.7500 0.7500

***

9.
AlSi6Ni (GGA-PBE, optimized geometry); total moment = 0.0 μB per formula unit; electronic total energy = -4.864 eV/atom; space-group type = P4/mmm, No. 123; relative energy among the computed polymorphs = 214 meV per atom; E_form (uncorrected) = 3.2 eV per formula unit
1.0
3.4056 0.0000 0.0000
0.0000 3.4056 0.0000
0.0000 0.0000 10.7495
Al Si Ni
1 6 1
Direct
0.0000 0.0000 0.0000
0.0000 0.5000 0.1970
0.0000 0.5000 0.8030
0.5000 0.0000 0.1970
0.5000 0.0000 0.8030
0.5000 0.5000 0.3884
0.5000 0.5000 0.6116
0.0000 0.0000 0.5000

***

10.
Al3SiNi2 (GGA-PBE, optimized geometry); total moment = 0.0 μB per formula unit; electronic total energy = -4.524 eV/atom; space-group type = P6_3/mmc, No. 194; relative energy among the computed polymorphs = 466 meV per atom; E_form (uncorrected) = 1.1 eV per formula unit
1.0
5.2412 0.0000 0.0000
-2.6206 4.5390 0.0000
0.0000 0.0000 7.2912
Al Si Ni
6 2 4
Direct
0.1758 0.3515 0.2500
0.1758 0.8242 0.2500
0.3515 0.1758 0.7500
0.6485 0.8242 0.2500
0.8242 0.1758 0.7500
0.8242 0.6485 0.7500
0.0000 0.0000 0.0000
0.0000 0.0000 0.5000
0.3333 0.6667 0.5570
0.3333 0.6667 0.9430
0.6667 0.3333 0.0570
0.6667 0.3333 0.4430

***

11.
AlSiNi (GGA-PBE, optimized geometry); total moment = 0.0 μB per formula unit; electronic total energy = -5.241 eV/atom; space-group type = Pbcm, No. 57; E_form (uncorrected) = -0.8 eV per formula unit
1.0
4.6118 0.0000 0.0000
0.0000 7.1577 0.0000
0.0000 0.0000 4.8288
Al Si Ni
4 4 4
Direct
0.1325 0.1272 0.2500
0.1325 0.3728 0.7500
0.8675 0.6272 0.2500
0.8675 0.8728 0.7500
0.3499 0.7500 0.0000
0.3499 0.7500 0.5000
0.6501 0.2500 0.0000
0.6501 0.2500 0.5000
0.3677 0.0347 0.7500
0.3677 0.4653 0.2500
0.6323 0.5347 0.7500
0.6323 0.9653 0.2500